Entry 1:
DFT (PBEsol) results for a relaxed Sb2MoCl crystal.

Cell: 3.3296 5.3531 5.6745 Å, 118.14 90.00 90.00°
Atoms (fractional coordinates):
Sb  0.5000  0.2351  0.4701
Sb  0.0000  0.9538  0.9075
Mo  0.5000  0.7458  0.4916
Cl  0.0000  0.5605  0.1210

Properties
Space-group type   Amm2, No. 38
Energy relative to the elements, uncorrected   0.063 eV per atom
Crystal system   orthorhombic
Electronic total energy   -5.66 eV per atom

---

Entry 2:
DFT (PBEsol) results for a relaxed Er2Co7B3 crystal.

Cell: 4.9063 4.9063 12.6686 Å, 90.00 90.00 120.00°
Site moments in Bohr magnetons follow the coordinates.
Atoms (fractional coordinates):
Co  0.0000  0.5000  0.8474  -0.07
Co  0.3333  0.6667  0.0000  -0.60
Co  0.5000  0.5000  0.6164  -0.07
Co  0.0000  0.5000  0.3836  -0.07
Co  0.5000  0.5000  0.8474  -0.60
Co  0.0000  0.5000  0.6164  0.01
Co  0.5000  0.0000  0.8474  -0.07
Co  0.5000  0.5000  0.3836  -0.07
Co  0.5000  0.0000  0.3836  -0.07
Co  0.5000  0.0000  0.1526  -0.60
Co  0.6667  0.3333  0.0000  -0.60
Co  0.0000  0.5000  0.1526  -0.60
Co  0.5000  0.0000  0.6164  0.01
Co  0.5000  0.5000  0.1526  -0.60
B  0.3333  0.6667  0.7324  -1.51
B  0.3333  0.6667  0.5000  0.01
B  0.6667  0.3333  0.5000  0.19
B  0.6667  0.3333  0.7324  -1.51
B  0.6667  0.3333  0.2676  0.11
B  0.3333  0.6667  0.2676  0.11
Er  0.0000  0.0000  0.0000  0.02
Er  0.0000  0.0000  0.5000  0.02
Er  0.0000  0.0000  0.7394  0.02
Er  0.0000  0.0000  0.2606  0.02

Properties
Space-group type   P6/mmm, No. 191
ΔH_f (0 K)   -10.99 kcal/mol of atoms
Crystal system   hexagonal
Electronic total energy   -7.56 eV per atom

---

Entry 3:
DFT (PBEsol) results for a relaxed CsCaTl3 crystal.

Cell: 6.1587 6.1587 6.1587 Å, 90.00 90.00 90.00°
Atoms (fractional coordinates):
Ca  0.5000  0.5000  0.5000
Tl  0.0000  0.5000  0.0000
Tl  0.5000  0.0000  0.0000
Tl  0.0000  0.0000  0.5000
Cs  0.0000  0.0000  0.0000

Properties
Space-group type   Pm-3m, No. 221
ΔH_f (0 K)   16.66 kcal/mol of atoms
Crystal system   cubic
Electronic total energy   -1.47 eV per atom

---

Entry 4:
DFT (PBEsol) results for a relaxed TcI3Br crystal.

Cell: 5.7674 5.7674 5.7674 Å, 90.00 90.00 90.00°
Site moments in Bohr magnetons follow the coordinates.
Atoms (fractional coordinates):
I  0.5000  0.0000  0.0000  0.05
I  0.0000  0.0000  0.5000  0.05
I  0.0000  0.5000  0.0000  0.05
Tc  0.5000  0.5000  0.5000  4.34
Br  0.0000  0.0000  0.0000  0.00

Properties
Space-group type   Pm-3m, No. 221
Energy relative to the elements, uncorrected   1.331 eV per atom
Crystal system   cubic
Electronic total energy   -2.36 eV per atom

---

Entry 5:
DFT (PBEsol) results for a relaxed BeTe2PtN crystal.

Cell: 3.5989 5.4996 5.4996 Å, 90.00 90.00 90.00°
Atoms (fractional coordinates):
Pt  0.0000  0.0000  0.0000
Te  0.0000  0.5000  0.0000
Te  0.0000  0.0000  0.5000
N  0.5000  0.0000  0.0000
Be  0.5000  0.5000  0.5000

Properties
Space-group type   P4/mmm, No. 123
Energy relative to the elements, uncorrected   0.760 eV per atom
Crystal system   tetragonal
Electronic total energy   -4.55 eV per atom

---

Entry 6:
DFT (PBEsol) results for a relaxed Th3As4 crystal.

Cell: 7.6134 7.6134 7.6134 Å, 109.47 109.47 109.47°
Atoms (fractional coordinates):
Th  0.8750  0.7500  0.6250
Th  0.1250  0.8750  0.2500
Th  0.6250  0.2500  0.8750
Th  0.7500  0.1250  0.3750
Th  0.2500  0.3750  0.1250
Th  0.3750  0.6250  0.7500
As  0.5000  0.3406  0.5000
As  0.8406  0.0000  0.0000
As  0.5000  0.8406  0.5000
As  0.0000  0.5000  0.8406
As  0.1594  0.1594  0.6594
As  0.0000  0.5000  0.3406
As  0.6594  0.6594  0.1594
As  0.3406  0.0000  0.0000

Properties
Space-group type   I-43d, No. 220
ΔH_f (0 K)   -31.20 kcal/mol of atoms
Crystal system   cubic
Electronic total energy   -7.75 eV per atom

---

Entry 7:
DFT (PBEsol) results for a relaxed MnZn2In crystal.

Cell: 2.9286 3.8263 5.5958 Å, 90.00 90.00 90.00°
Site moments in Bohr magnetons follow the coordinates.
Atoms (fractional coordinates):
In  0.5000  0.5000  0.0000  -0.03
Mn  0.5000  0.5000  0.5000  3.00
Zn  0.0000  0.0000  0.7178  -0.04
Zn  0.0000  0.0000  0.2822  -0.04

Properties
Space-group type   Pmmm, No. 47
ΔH_f (0 K)   4.27 kcal/mol of atoms
Crystal system   orthorhombic
Electronic total energy   -3.79 eV per atom

---

Entry 8:
DFT (PBEsol) results for a relaxed SmB2Ir3 crystal.

Cell: 3.1106 5.4618 5.4618 Å, 120.00 90.00 90.00°
Atoms (fractional coordinates):
B  0.0000  0.3333  0.6667
B  0.0000  0.6667  0.3333
Ir  0.5000  0.5000  0.0000
Ir  0.5000  0.0000  0.5000
Ir  0.5000  0.5000  0.5000
Sm  0.0000  0.0000  0.0000

Properties
Space-group type   P6/mmm, No. 191
ΔH_f (0 K)   -15.72 kcal/mol of atoms
Crystal system   hexagonal
Electronic total energy   -8.78 eV per atom